First-principles (PBE-GGA) data for a relaxed KHgTe3 crystal, as listed in Alexandria via LeMat-Bulk.

Lattice parameters (Å, degrees): 6.6762 6.6762 6.6762 90.00 90.00 90.00
Space group Pm-3m (No. 221)
Asymmetric unit:
K 0.0000 0.0000 0.0000
Hg 0.5000 0.5000 0.5000
Te 0.0000 0.0000 0.5000

Summary:
ΔE_f (raw): 0.686 eV/atom
Electronic total energy: -1.48 eV per atom
Size of the total moment: 5.0 μB per formula unit

---

First-principles (PBE-GGA) data for a relaxed GdTmBeRh crystal, as listed in Alexandria via LeMat-Bulk.

Lattice parameters (Å, degrees): 6.8405 6.8405 6.8405 90.00 90.00 90.00
Space group F-43m (No. 216)
Asymmetric unit:
Gd 0.0000 0.0000 0.0000
Tm 0.0000 0.0000 0.5000
Be 0.2500 0.2500 0.7500
Rh 0.2500 0.2500 0.2500

Summary:
Electronic total energy: -7.78 eV per atom
Energy relative to the elements: -0.374 eV per atom
Size of the total moment: 7.1 μB per formula unit

---

First-principles (PBE-GGA) data for a relaxed Pm4Pr2Er5 crystal, as listed in Alexandria via LeMat-Bulk.

Lattice parameters (Å, degrees): 3.5925 8.6371 11.8559 89.74 83.81 89.45
Space group P-1 (No. 2)
Asymmetric unit:
Pm 0.0097 0.2047 0.4716
Pm 0.1092 0.2532 0.1792
Pr 0.1494 0.6491 0.1002
Er 0.4132 0.0726 0.7144
Er 0.4565 0.4736 0.6482
Er 0.5000 0.0000 0.0000

Summary:
Electronic total energy: -4.62 eV per atom
Energy relative to the elements: 0.053 eV per atom
Size of the total moment: 0.0 μB per formula unit

---

First-principles (PBE-GGA) data for a relaxed Tb3ErAu3 crystal, as listed in Alexandria via LeMat-Bulk.

Lattice parameters (Å, degrees): 9.7117 10.5411 7.1564 90.00 91.04 90.00
Space group C2/m (No. 12)
Asymmetric unit:
Tb 0.0000 0.1883 0.0000
Tb 0.0000 0.2589 0.5000
Tb 0.1758 0.5000 0.9211
Er 0.2428 0.5000 0.4212
Au 0.0480 0.0000 0.2994
Au 0.2401 0.2660 0.2238

Summary:
Electronic total energy: -4.69 eV per atom
Energy relative to the elements: -0.645 eV per atom
Size of the total moment: 0.0 μB per formula unit

---

First-principles (PBE-GGA) data for a relaxed Pm5AlIn3 crystal, as listed in Alexandria via LeMat-Bulk.

Lattice parameters (Å, degrees): 9.5245 9.5245 6.6772 90.00 90.00 120.00
Space group P6_3/mcm (No. 193)
Asymmetric unit:
Pm 0.0000 0.2799 0.2500
Pm 0.3333 0.6667 0.0000
Al 0.0000 0.0000 0.0000
In 0.0000 0.3719 0.7500

Summary:
Electronic total energy: -4.37 eV per atom
Energy relative to the elements: -0.400 eV per atom
Size of the total moment: 0.0 μB per formula unit

---

First-principles (PBE-GGA) data for a relaxed TlMoAu crystal, as listed in Alexandria via LeMat-Bulk.

Lattice parameters (Å, degrees): 3.0365 3.0365 7.2599 90.00 90.00 120.00
Space group P3m1 (No. 156)
Asymmetric unit:
Tl 0.0000 0.0000 0.0000
Mo 0.3333 0.6667 0.6613
Au 0.6667 0.3333 0.3592

Summary:
Electronic total energy: -4.96 eV per atom
Energy relative to the elements: 0.535 eV per atom
Size of the total moment: 0.0 μB per formula unit

---

First-principles (PBE-GGA) data for a relaxed K2NaMnAs2 crystal, as listed in Alexandria via LeMat-Bulk.

Lattice parameters (Å, degrees): 6.8870 14.9558 6.5437 90.00 90.00 90.00
Space group Ibam (No. 72)
Asymmetric unit:
K 0.2443 0.1753 0.0000
Na 0.0000 0.0000 0.2500
Mn 0.0000 0.5000 0.2500
As 0.1990 0.4091 0.0000

Summary:
Electronic total energy: -4.05 eV per atom
Energy relative to the elements: -0.386 eV per atom
Size of the total moment: 4.0 μB per formula unit

---

First-principles (PBE-GGA) data for a relaxed LaPmEr14 crystal, as listed in Alexandria via LeMat-Bulk.

Lattice parameters (Å, degrees): 11.4232 7.1090 12.2757 90.00 90.00 90.00
Space group Amm2 (No. 38)
Asymmetric unit:
La 0.0000 0.0000 0.0000
Pm 0.0000 0.0000 0.5006
Er 0.0000 0.2496 0.2506
Er 0.2516 0.0000 0.6679
Er 0.2533 0.0000 0.1680
Er 0.2551 0.2495 0.4171
Er 0.5000 0.0000 0.3342
Er 0.5000 0.0000 0.8340
Er 0.5000 0.2504 0.0848

Summary:
Electronic total energy: -4.58 eV per atom
Energy relative to the elements: 0.013 eV per atom
Size of the total moment: 0.0 μB per formula unit

---

- Look up the electronic total energy of the first one.
  -1.48 eV per atom

---

- size of the total moment of number 8 (LaPmEr14)?
  0.0 μB per formula unit

---

- Look up the electronic total energy of the first one.
  -1.48 eV per atom